Entry 1:
Density functional theory data (PBE) for crystalline Sr2PaGe3Ir4 at its relaxed geometry.

For the formation energy, the calculation gives -6.2 eV/f.u. As for the total magnetization: 0.0 Bohr magnetons per cell. For the density of states at the Fermi level, the calculation gives 6.5 states/eV/f.u. For the volume, the calculation gives 208.1 Å³/f.u.

The space group is P-4m2 (No. 115) and the conventional cell measures 4.3453, 4.3453 and 11.0206 Å, with angles of 90.00, 90.00 and 90.00 degrees. The inequivalent atoms are Sr at (0.0000, 0.5000, 0.2282), Pa at (0.0000, 0.0000, 0.5000), Ge at (0.0000, 0.5000, 0.8802), Ge at (0.5000, 0.5000, 0.5000), Ir at (0.0000, 0.0000, 0.0000), Ir at (0.0000, 0.5000, 0.6460) and Ir at (0.5000, 0.5000, 0.0000).



Entry 2:
Density functional theory data (PBE) for crystalline InPd2Pt5 at its relaxed geometry.

For the formation energy, the calculation gives -1.7 eV/f.u. As for the total magnetization: 0.0 Bohr magnetons per cell. For the density of states at the Fermi level, the calculation gives 12.9 states/eV/f.u. For the volume, the calculation gives 128.2 Å³/f.u.

The space group is Pbam (No. 55) and the conventional cell measures 5.6832, 11.3803 and 3.9642 Å, with angles of 90.00, 90.00 and 90.00 degrees. The inequivalent atoms are In at (0.0000, 0.0000, 0.0000), Pd at (0.2419, 0.1225, 0.5000), Pt at (0.0000, 0.5000, 0.0000), Pt at (0.0133, 0.7519, 0.0000) and Pt at (0.2347, 0.3700, 0.5000).



Entry 3:
Density functional theory data (PBE) for crystalline Dy2YErTe6 at its relaxed geometry.

As for the total magnetization: 0.0 Bohr magnetons per cell. For the volume, the calculation gives 358.2 Å³/f.u. As for the uncorrected formation energy: -1363 meV/atom.

The space group is R3 (No. 146, hexagonal axes) and the conventional cell measures 7.6789, 7.6789 and 21.0426 Å, with angles of 90.00, 90.00 and 120.00 degrees. The inequivalent atoms are Dy at (0.0000, 0.0000, 0.0000), Dy at (0.0000, 0.0000, 0.4996), Y at (0.0000, 0.0000, 0.1856), Er at (0.0000, 0.0000, 0.6851), Te at (0.9996, 0.6870, 0.5932) and Te at (0.0196, 0.3502, 0.7593).



Entry 4:
Density functional theory data (PBE) for crystalline CaGe2PbS6 at its relaxed geometry.

As for the total magnetization: 0.0 Bohr magnetons per cell. For the volume, the calculation gives 259.0 Å³/f.u. As for the uncorrected formation energy: -675 meV/atom.

The space group is C2/c (No. 15) and the conventional cell measures 13.0425, 12.0497 and 6.8478 Å, with angles of 90.00, 105.71 and 90.00 degrees. The inequivalent atoms are Ca at (0.0000, 0.1646, 0.2500), Ge at (0.2109, 0.0919, 0.7392), Pb at (0.0000, 0.3956, 0.7500), S at (0.1153, 0.3987, 0.1803), S at (0.1310, 0.0394, 0.9927) and S at (0.1362, 0.2462, 0.6082).



Entry 5:
Density functional theory data (PBE) for crystalline Sr2AgAuN at its relaxed geometry.

As for the total magnetization: 0.0 Bohr magnetons per cell. For the density of states at the Fermi level, the calculation gives 2.1 states/eV/f.u. For the volume, the calculation gives 119.3 Å³/f.u. As for the uncorrected formation energy: -410 meV/atom.

The space group is P4/mmm (No. 123) and the conventional cell measures 5.2979, 5.2979 and 4.2497 Å, with angles of 90.00, 90.00 and 90.00 degrees. The inequivalent atoms are Sr at (0.0000, 0.5000, 0.0000), Ag at (0.0000, 0.0000, 0.5000), Au at (0.5000, 0.5000, 0.5000) and N at (0.0000, 0.0000, 0.0000).



Entry 6:
Density functional theory data (PBE) for crystalline Al2B2Ru3 at its relaxed geometry.

For the formation energy, the calculation gives -3.3 eV/f.u. As for the total magnetization: 0.0 Bohr magnetons per cell. For the density of states at the Fermi level, the calculation gives 2.4 states/eV/f.u. For the volume, the calculation gives 79.9 Å³/f.u.

The space group is Cmmm (No. 65) and the conventional cell measures 3.0551, 17.7178 and 2.9507 Å, with angles of 90.00, 90.00 and 90.00 degrees. The inequivalent atoms are Al at (0.0000, 0.0783, 0.0000), B at (0.0000, 0.2219, 0.0000), Ru at (0.0000, 0.3239, 0.5000) and Ru at (0.0000, 0.5000, 0.5000).



Entry 7:
Density functional theory data (PBE) for crystalline Ca2AgSbH at its relaxed geometry.

For the calculated total energy, the calculation gives -3.436 eV/atom. As for the total magnetization: 0.0 Bohr magnetons per cell. For the density of states at the Fermi level, the calculation gives 1.5 states/eV/f.u. For the volume, the calculation gives 105.6 Å³/f.u.

The space group is P4/mmm (No. 123) and the conventional cell measures 4.9748, 4.9748 and 4.2683 Å, with angles of 90.00, 90.00 and 90.00 degrees. The inequivalent atoms are Ca at (0.0000, 0.5000, 0.0000), Ag at (0.0000, 0.0000, 0.5000), Sb at (0.5000, 0.5000, 0.5000) and H at (0.0000, 0.0000, 0.0000).



Entry 8:
Density functional theory data (PBE) for crystalline Ce3Pu3Al5 at its relaxed geometry.

For the formation energy, the calculation gives -2.1 eV/f.u. As for the total magnetization: 4.9 Bohr magnetons per cell. For the density of states at the Fermi level, the calculation gives 17.0 states/eV/f.u. For the volume, the calculation gives 244.4 Å³/f.u.

The space group is P1 (No. 1) and the conventional cell measures 5.6324, 6.3281 and 7.5100 Å, with angles of 103.80, 102.90 and 101.31 degrees. The inequivalent atoms are Ce at (0.0000, 0.0000, 0.0000), Ce at (0.2739, 0.8220, 0.6545), Ce at (0.6329, 0.7742, 0.1358), Pu at (0.1354, 0.5245, 0.1524), Pu at (0.3004, 0.0843, 0.3754), Pu at (0.4567, 0.5455, 0.4390), Al at (0.2353, 0.3494, 0.7632), Al at (0.5552, 0.2500, 0.0592), Al at (0.7409, 0.4088, 0.7733), Al at (0.8054, 0.0039, 0.5788) and Al at (0.8796, 0.3253, 0.4065).



Entry 9:
Density functional theory data (PBE) for crystalline Tb6Te3PPt2 at its relaxed geometry.

As for the total magnetization: 0.0 Bohr magnetons per cell. For the density of states at the Fermi level, the calculation gives 5.9 states/eV/f.u. For the volume, the calculation gives 326.6 Å³/f.u. As for the uncorrected formation energy: -1341 meV/atom.

The space group is C2/m (No. 12) and the conventional cell measures 7.2115, 12.5370 and 7.6220 Å, with angles of 90.00, 108.57 and 90.00 degrees. The inequivalent atoms are Tb at (0.2375, 0.1667, 0.2129), Tb at (0.2378, 0.5000, 0.2148), Te at (0.0000, 0.1651, 0.5000), Te at (0.0000, 0.5000, 0.5000), P at (0.0000, 0.0000, 0.0000) and Pt at (0.0000, 0.3331, 0.0000).



Entry 10:
Density functional theory data (PBE) for crystalline Ac6Ga3Ge at its relaxed geometry.

For the formation energy, the calculation gives -3.6 eV/f.u. As for the total magnetization: 0.0 Bohr magnetons per cell. For the density of states at the Fermi level, the calculation gives 10.8 states/eV/f.u. For the volume, the calculation gives 339.6 Å³/f.u.

The space group is Pnnm (No. 58) and the conventional cell measures 9.4636, 13.0288 and 5.5083 Å, with angles of 90.00, 90.00 and 90.00 degrees. The inequivalent atoms are Ac at (0.0066, 0.2484, 0.0000), Ac at (0.1662, 0.0886, 0.5000), Ac at (0.1688, 0.4241, 0.5000), Ga at (0.0000, 0.5000, 0.0000), Ga at (0.1579, 0.7175, 0.5000) and Ge at (0.0000, 0.0000, 0.0000).



Entry 11:
Density functional theory data (PBE) for crystalline Li5Ag2 at its relaxed geometry.

For the formation energy, the calculation gives -0.9 eV/f.u. As for the total magnetization: 0.0 Bohr magnetons per cell. Its distance to the lowest polymorph of the same formula is 0.0 meV/atom. For the density of states at the Fermi level, the calculation gives 1.9 states/eV/f.u. For the volume, the calculation gives 121.4 Å³/f.u.

The space group is R-3m (No. 166, hexagonal axes) and the conventional cell measures 4.6182, 4.6182 and 19.7139 Å, with angles of 90.00, 90.00 and 120.00 degrees. The inequivalent atoms are Li at (0.0000, 0.0000, 0.0000), Li at (0.0000, 0.0000, 0.2738), Li at (0.0000, 0.0000, 0.4326) and Ag at (0.0000, 0.0000, 0.1366).



Entry 12:
Density functional theory data (PBE) for crystalline YSi2Br at its relaxed geometry.

As for the total magnetization: 0.0 Bohr magnetons per cell. Its distance to the lowest polymorph of the same formula is 0.0 meV/atom. For the density of states at the Fermi level, the calculation gives 0.4 states/eV/f.u. For the volume, the calculation gives 106.4 Å³/f.u. As for the uncorrected formation energy: -719 meV/atom.

The space group is R3m (No. 160, hexagonal axes) and the conventional cell measures 3.8610, 3.8610 and 24.7172 Å, with angles of 90.00, 90.00 and 120.00 degrees. The inequivalent atoms are Y at (0.0000, 0.0000, 0.0000), Si at (0.0000, 0.0000, 0.4424), Si at (0.0000, 0.0000, 0.7406) and Br at (0.0000, 0.0000, 0.2579).



Entry 13:
Density functional theory data (PBE) for crystalline K2AsAu at its relaxed geometry.

For the formation energy, the calculation gives -0.4 eV/f.u. As for the total magnetization: 0.0 Bohr magnetons per cell. For the density of states at the Fermi level, the calculation gives 0.8 states/eV/f.u. For the volume, the calculation gives 106.7 Å³/f.u.

The space group is P4/mmm (No. 123) and the conventional cell measures 4.6091, 4.6091 and 5.0229 Å, with angles of 90.00, 90.00 and 90.00 degrees. The inequivalent atoms are K at (0.0000, 0.5000, 0.0000), As at (0.0000, 0.0000, 0.5000) and Au at (0.5000, 0.5000, 0.5000).



Entry 14:
Density functional theory data (PBE) for crystalline Zr2Al2Ag at its relaxed geometry.

For the formation energy, the calculation gives -1.8 eV/f.u. As for the total magnetization: 0.0 Bohr magnetons per cell. Its distance to the lowest polymorph of the same formula is 0.0 meV/atom. For the density of states at the Fermi level, the calculation gives 2.0 states/eV/f.u. For the volume, the calculation gives 96.6 Å³/f.u.

The space group is P4/mbm (No. 127) and the conventional cell measures 6.7039, 6.7039 and 4.3001 Å, with angles of 90.00, 90.00 and 90.00 degrees. The inequivalent atoms are Zr at (0.1638, 0.3362, 0.0000), Al at (0.1368, 0.6368, 0.5000) and Ag at (0.0000, 0.0000, 0.5000).



Entry 15:
Density functional theory data (PBE) for crystalline ZrPaFe at its relaxed geometry.

For the formation energy, the calculation gives -0.2 eV/f.u. As for the total magnetization: 0.0 Bohr magnetons per cell. Its distance to the lowest polymorph of the same formula is 122.5 meV/atom. For the density of states at the Fermi level, the calculation gives 3.1 states/eV/f.u. For the volume, the calculation gives 57.9 Å³/f.u.

The space group is I4mm (No. 107) and the conventional cell measures 3.3655, 3.3655 and 10.2174 Å, with angles of 90.00, 90.00 and 90.00 degrees. The inequivalent atoms are Zr at (0.0000, 0.0000, 0.0000), Pa at (0.0000, 0.0000, 0.7032) and Fe at (0.0000, 0.0000, 0.3009).



Entry 16:
Density functional theory data (PBE) for crystalline Na2SnGe3Pd4 at its relaxed geometry.

For the formation energy, the calculation gives -3.9 eV/f.u. As for the total magnetization: 0.0 Bohr magnetons per cell. For the density of states at the Fermi level, the calculation gives 4.8 states/eV/f.u. For the volume, the calculation gives 198.8 Å³/f.u.

The space group is P-4m2 (No. 115) and the conventional cell measures 4.2839, 4.2839 and 10.8349 Å, with angles of 90.00, 90.00 and 90.00 degrees. The inequivalent atoms are Na at (0.0000, 0.5000, 0.2379), Sn at (0.0000, 0.0000, 0.5000), Ge at (0.0000, 0.5000, 0.8764), Ge at (0.5000, 0.5000, 0.5000), Pd at (0.0000, 0.0000, 0.0000), Pd at (0.0000, 0.5000, 0.6488) and Pd at (0.5000, 0.5000, 0.0000).



Entry 17:
Density functional theory data (PBE) for crystalline Pa4SiAsP2 at its relaxed geometry.

As for the total magnetization: 0.0 Bohr magnetons per cell. For the density of states at the Fermi level, the calculation gives 8.1 states/eV/f.u. For the volume, the calculation gives 185.0 Å³/f.u. As for the uncorrected formation energy: -1030 meV/atom.

The space group is P2/m (No. 10) and the conventional cell measures 6.9686, 4.0258 and 6.9903 Å, with angles of 90.00, 109.41 and 90.00 degrees. The inequivalent atoms are Pa at (0.2436, 0.0000, 0.2398), Pa at (0.2496, 0.5000, 0.7578), Si at (0.0000, 0.0000, 0.5000), As at (0.5000, 0.5000, 0.5000), P at (0.0000, 0.5000, 0.0000) and P at (0.5000, 0.0000, 0.0000).



Entry 18:
Density functional theory data (PBE) for crystalline B4Pt5Rh at its relaxed geometry.

For the formation energy, the calculation gives -1.9 eV/f.u. As for the total magnetization: 0.0 Bohr magnetons per cell. For the density of states at the Fermi level, the calculation gives 2.9 states/eV/f.u. For the volume, the calculation gives 123.9 Å³/f.u.

The space group is C2/m (No. 12) and the conventional cell measures 13.6702, 3.3004 and 5.5633 Å, with angles of 90.00, 99.27 and 90.00 degrees. The inequivalent atoms are B at (0.0578, 0.0000, 0.2757), B at (0.1436, 0.5000, 0.8000), Pt at (0.0000, 0.5000, 0.0000), Pt at (0.1742, 0.0000, 0.5659), Pt at (0.1746, 0.0000, 0.0635) and Rh at (0.0000, 0.5000, 0.5000).



Entry 19:
Density functional theory data (PBE) for crystalline CrMoRh2 at its relaxed geometry.

For the formation energy, the calculation gives 0.6 eV/f.u. As for the total magnetization: 18.6 Bohr magnetons per cell. Its distance to the lowest polymorph of the same formula is 255.8 meV/atom. For the density of states at the Fermi level, the calculation gives 5.1 states/eV/f.u. For the volume, the calculation gives 59.3 Å³/f.u.

The space group is Fm-3m (No. 225) and the conventional cell measures 6.1889, 6.1889 and 6.1889 Å, with angles of 90.00, 90.00 and 90.00 degrees. The inequivalent atoms are Cr at (0.0000, 0.0000, 0.0000), Mo at (0.0000, 0.0000, 0.5000) and Rh at (0.2500, 0.2500, 0.2500).



Entry 20:
Density functional theory data (PBE) for crystalline TbTm6Th at its relaxed geometry.

For the formation energy, the calculation gives 1.9 eV/f.u. As for the total magnetization: 0.0 Bohr magnetons per cell. Its distance to the lowest polymorph of the same formula is 200.8 meV/atom. For the density of states at the Fermi level, the calculation gives 15.4 states/eV/f.u. For the volume, the calculation gives 250.2 Å³/f.u.

The space group is P-1 (No. 2) and the conventional cell measures 6.4854, 6.6831 and 6.7053 Å, with angles of 61.05, 80.56 and 89.11 degrees. The inequivalent atoms are Tb at (0.0000, 0.0000, 0.0000), Tm at (0.2339, 0.5721, 0.5208), Tm at (0.2489, 0.5444, 0.0109), Tm at (0.2656, 0.0846, 0.4917) and Th at (0.5000, 0.0000, 0.0000).